VASP calculation (PBE-GGA) on Ta3ZnBi after structural relaxation.

The magnetization is 0.000 Bohr magnetons per cell. Its formation enthalpy at 0 K is 2.383 eV per atom.

The structure belongs to space group Pm-3m (No. 221); the cell edges are 5.134, 5.134 and 5.134 Å and the angles 90.00°, 90.00° and 90.00°. Symmetry generates all atoms from Ta at (0.000, 0.000, 0.500), Zn at (0.500, 0.500, 0.500) and Bi at (0.000, 0.000, 0.000).

=====

VASP calculation (PBE-GGA) on Ta3ZnBi after structural relaxation.

The magnetization is 0.000 Bohr magnetons per cell. Its formation enthalpy at 0 K is 1.239 eV per atom.

The structure belongs to space group Pm-3m (No. 221); the cell edges are 4.777, 4.777 and 4.777 Å and the angles 90.00°, 90.00° and 90.00°. Symmetry generates all atoms from Ta at (0.000, 0.000, 0.500), Zn at (0.000, 0.000, 0.000) and Bi at (0.500, 0.500, 0.500).

=====

VASP calculation (PBE-GGA) on TaZnBi2 after structural relaxation.

The magnetization is 3.838 Bohr magnetons per cell. Its formation enthalpy at 0 K is 0.779 eV per atom.

The structure belongs to space group I-42d (No. 122); the cell edges are 6.554, 6.554 and 12.570 Å and the angles 90.00°, 90.00° and 90.00°. Symmetry generates all atoms from Ta at (0.000, 0.000, 0.000), Zn at (0.000, 0.000, 0.500) and Bi at (0.248, 0.250, 0.125).

=====

VASP calculation (PBE-GGA) on TaZn3Bi after structural relaxation.

The magnetization is 2.922 Bohr magnetons per cell. Its formation enthalpy at 0 K is 1.600 eV per atom.

The structure belongs to space group Pm-3m (No. 221); the cell edges are 5.210, 5.210 and 5.210 Å and the angles 90.00°, 90.00° and 90.00°. Symmetry generates all atoms from Ta at (0.000, 0.000, 0.000), Zn at (0.000, 0.500, 0.500) and Bi at (0.500, 0.500, 0.500).

=====

VASP calculation (PBE-GGA) on Zr2Ta2Bi after structural relaxation.

The magnetization is 0.000 Bohr magnetons per cell. Its formation enthalpy at 0 K is 0.248 eV per atom.

The structure belongs to space group P4/mbm (No. 127); the cell edges are 7.726, 7.726 and 3.771 Å and the angles 90.00°, 90.00° and 90.00°. Symmetry generates all atoms from Zr at (0.182, 0.318, 0.000), Ta at (0.114, 0.614, 0.500) and Bi at (0.000, 0.000, 0.500).

=====

VASP calculation (PBE-GGA) on Zr2TaBi2 after structural relaxation.

The magnetization is 0.000 Bohr magnetons per cell. Its formation enthalpy at 0 K is 0.100 eV per atom.

The structure belongs to space group P4/mbm (No. 127); the cell edges are 7.719, 7.719 and 3.944 Å and the angles 90.00°, 90.00° and 90.00°. Symmetry generates all atoms from Zr at (0.151, 0.349, 0.000), Ta at (0.000, 0.000, 0.500) and Bi at (0.150, 0.650, 0.500).